Computed, not measured: crystalline TiMn2AgN at its relaxed geometry at the PBE level of DFT.

Values from the calculation:
For the uncorrected formation energy, the calculation gives -30.9 kJ per mole of atoms. For the total moment, the calculation gives 5.6 Bohr magnetons per cell. The total energy comes out at -7.803 eV per atom. The value obtained for the density is 7.0 g cm⁻³. The calculated volume comes out at 66.4 Å³/f.u.

Cell: 4.0426 4.0426 4.0606 Å, 90.00 90.00 90.00°
Closest atoms and distances in Å follow each position.
Atoms (fractional coordinates):
Ti 0.0000 0.0000 0.0000  2 N 2.03
Mn 0.0000 0.5000 0.5000  2 N 2.02
Mn 0.5000 0.0000 0.5000  2 N 2.02
Ag 0.5000 0.5000 0.0000  4 Ti 2.86, 8 Mn 2.86
N 0.0000 0.0000 0.5000  4 Mn 2.02, 2 Ti 2.03